# Nd4PAuBr2 GGA-PBE optimized geometry
data_Nd4PAuBr2
_chemical_formula_sum 'Nd4 P1 Au1 Br2'
_space_group_name_H-M_alt 'P 1 2/m 1'
_space_group_IT_number 10
_cell_length_a 7.523
_cell_length_b 4.164
_cell_length_c 7.605
_cell_angle_alpha 90.00
_cell_angle_beta 107.74
_cell_angle_gamma 90.00
loop_
_space_group_symop_operation_xyz
'x,y,z'
'-x,-y,-z'
'-x,y,-z'
'x,-y,z'
loop_
_atom_site_label
_atom_site_type_symbol
_atom_site_fract_x
_atom_site_fract_y
_atom_site_fract_z
Nd1 Nd 0.224 0.000 0.214
Nd2 Nd 0.257 0.500 0.782
P1 P 0.000 0.500 0.000
Au1 Au 0.500 0.000 0.000
Br1 Br 0.000 0.000 0.500
Br2 Br 0.500 0.500 0.500
# Formation energy without anion corrections, meV/atom: -1206
# DOS at the Fermi energy, states/eV/f.u.: 4.2
# Calculated volume, Å³/atom: 28.36
# Uncorrected energy, eV per atom: -5.09